Record 1
{
  "formula": "ErPuBi2",
  "functional": "PBE",
  "state": "relaxed",
  "cell": [[3.7265, 0.0000, 0.0000], [0.0000, 3.7265, 0.0000], [0.0000, 0.0000, 8.3228]],
  "species": ["Er", "Pu", "Bi", "Bi"],
  "frac_coords": [[0.0000, 0.0000, 0.0000], [0.0000, 0.0000, 0.5000], [0.5000, 0.5000, 0.2425], [0.5000, 0.5000, 0.7575]],
  "de_polymorph_ev_per_atom": 0.123,
  "n_ef_per_ev_atom": 2.3901,
  "spacegroup": "No. 123",
  "delta_e_f_ev_per_fu": -1.78
}

Record 2
{
  "formula": "Tb2MnAs3Rh4",
  "functional": "PBE",
  "state": "relaxed",
  "cell": [[4.0932, 0.0000, 0.0000], [0.0000, 4.0932, 0.0000], [0.0000, 0.0000, 10.5809]],
  "species": ["Tb", "Tb", "Mn", "As", "As", "As", "Rh", "Rh", "Rh", "Rh"],
  "frac_coords": [[0.0000, 0.5000, 0.2479], [0.5000, 0.0000, 0.7521], [0.0000, 0.0000, 0.5000], [0.0000, 0.5000, 0.8625], [0.5000, 0.0000, 0.1375], [0.5000, 0.5000, 0.5000], [0.0000, 0.0000, 0.0000], [0.0000, 0.5000, 0.6372], [0.5000, 0.0000, 0.3628], [0.5000, 0.5000, 0.0000]],
  "n_ef_per_ev_atom": 0.6095,
  "spacegroup": "No. 115",
  "delta_e_f_ev_per_fu": -8.22
}

Record 3
{
  "formula": "Ac7Ir5",
  "functional": "PBE",
  "state": "relaxed",
  "cell": [[7.0992, -2.1276, 0.0000], [7.0992, 2.1276, 0.0000], [-3.4156, 0.0000, 12.4079]],
  "species": ["Ac", "Ac", "Ac", "Ac", "Ac", "Ac", "Ac", "Ir", "Ir", "Ir", "Ir", "Ir"],
  "frac_coords": [[0.0000, 0.0000, 0.0000], [0.1552, 0.1552, 0.5496], [0.2381, 0.2381, 0.8593], [0.4586, 0.4586, 0.7146], [0.5414, 0.5414, 0.2854], [0.7619, 0.7619, 0.1407], [0.8448, 0.8448, 0.4504], [0.1964, 0.1964, 0.3126], [0.3853, 0.3853, 0.0758], [0.5000, 0.5000, 0.5000], [0.6147, 0.6147, 0.9242], [0.8036, 0.8036, 0.6874]],
  "n_ef_per_ev_atom": 0.5344,
  "spacegroup": "No. 12",
  "delta_e_f_ev_per_fu": -7.28
}

Q: Number 3 is which compound?
A: Ac7Ir5

Repeat the third record exactly.
{
  "formula": "Ac7Ir5",
  "functional": "PBE",
  "state": "relaxed",
  "cell": [[7.0992, -2.1276, 0.0000], [7.0992, 2.1276, 0.0000], [-3.4156, 0.0000, 12.4079]],
  "species": ["Ac", "Ac", "Ac", "Ac", "Ac", "Ac", "Ac", "Ir", "Ir", "Ir", "Ir", "Ir"],
  "frac_coords": [[0.0000, 0.0000, 0.0000], [0.1552, 0.1552, 0.5496], [0.2381, 0.2381, 0.8593], [0.4586, 0.4586, 0.7146], [0.5414, 0.5414, 0.2854], [0.7619, 0.7619, 0.1407], [0.8448, 0.8448, 0.4504], [0.1964, 0.1964, 0.3126], [0.3853, 0.3853, 0.0758], [0.5000, 0.5000, 0.5000], [0.6147, 0.6147, 0.9242], [0.8036, 0.8036, 0.6874]],
  "n_ef_per_ev_atom": 0.5344,
  "spacegroup": "No. 12",
  "delta_e_f_ev_per_fu": -7.28
}

Please write out number 3 again, unchanged.
{
  "formula": "Ac7Ir5",
  "functional": "PBE",
  "state": "relaxed",
  "cell": [[7.0992, -2.1276, 0.0000], [7.0992, 2.1276, 0.0000], [-3.4156, 0.0000, 12.4079]],
  "species": ["Ac", "Ac", "Ac", "Ac", "Ac", "Ac", "Ac", "Ir", "Ir", "Ir", "Ir", "Ir"],
  "frac_coords": [[0.0000, 0.0000, 0.0000], [0.1552, 0.1552, 0.5496], [0.2381, 0.2381, 0.8593], [0.4586, 0.4586, 0.7146], [0.5414, 0.5414, 0.2854], [0.7619, 0.7619, 0.1407], [0.8448, 0.8448, 0.4504], [0.1964, 0.1964, 0.3126], [0.3853, 0.3853, 0.0758], [0.5000, 0.5000, 0.5000], [0.6147, 0.6147, 0.9242], [0.8036, 0.8036, 0.6874]],
  "n_ef_per_ev_atom": 0.5344,
  "spacegroup": "No. 12",
  "delta_e_f_ev_per_fu": -7.28
}